(1)
Ac2Ga3Pt GGA-PBE relaxed; SG = Fmmm; formation energy from the elements = -788 meV/atom
1.0
-5.1984 -0.5897 -3.5693
2.0745 -5.5796 -2.1622
-2.0152 -0.4933 8.6666
Ac Ga Pt
4 6 2
Cartesian
-0.7513 -4.5788 1.8193 Ac
-2.2931 -4.5287 -4.2074 Ac
-4.3878 -2.0838 1.1158 Ac
-0.8307 -1.6406 -1.5242 Ac
-0.3112 -4.9498 -1.5399 Ga
-1.1320 -4.2485 5.1900 Ga
-4.8279 -1.7128 4.4749 Ga
-4.0070 -2.4141 -2.2549 Ga
-1.1897 -1.1900 1.9293 Ga
-3.9493 -5.4726 1.0058 Ga
-2.7523 -4.2753 -0.9353 Pt
-2.3867 -2.3873 3.8704 Pt

=====

(2)
Ce2Dy5Ho2 GGA-PBE relaxed; SG = C2/m; formation energy from the elements = 118 meV/atom
1.0
5.3354 0.0000 1.6223
1.3383 6.8885 5.1835
0.2529 1.4568 8.7533
Ce Dy Ho
2 5 2
Cartesian
0.9860 3.0386 6.3422 Ce
5.9406 5.3067 9.2168 Ce
1.8092 0.5489 3.6349 Dy
5.1174 7.7964 11.9242 Dy
2.2004 5.7935 11.9330 Dy
4.7262 2.5518 3.6261 Dy
0.0000 0.0000 0.0000 Dy
2.9961 3.5353 9.3163 Ho
3.9305 4.8100 6.2428 Ho

=====

(3)
AcAg4 GGA-PBE relaxed; ΔE to the lowest computed polymorph = 0.025 eV/atom; SG = I4/mmm; formation energy from the elements = -157 meV/atom
1.0
-2.2838 3.6434 0.9099
-1.1771 -1.7089 3.8746
6.7877 1.5426 0.2512
Ac Ag
1 4
Cartesian
2.2520 2.5930 0.5805 Ac
4.1921 2.9935 3.8395 Ag
-0.8652 0.4836 1.1961 Ag
-0.5861 3.0106 2.3938 Ag
3.9130 0.4665 2.6418 Ag

=====

What is the formation energy from the elements in the second record? 118 meV/atom

=====

What is the formula in the third record? AcAg4

=====

Copy entry 1 word for word.
Ac2Ga3Pt GGA-PBE relaxed; SG = Fmmm; formation energy from the elements = -788 meV/atom
1.0
-5.1984 -0.5897 -3.5693
2.0745 -5.5796 -2.1622
-2.0152 -0.4933 8.6666
Ac Ga Pt
4 6 2
Cartesian
-0.7513 -4.5788 1.8193 Ac
-2.2931 -4.5287 -4.2074 Ac
-4.3878 -2.0838 1.1158 Ac
-0.8307 -1.6406 -1.5242 Ac
-0.3112 -4.9498 -1.5399 Ga
-1.1320 -4.2485 5.1900 Ga
-4.8279 -1.7128 4.4749 Ga
-4.0070 -2.4141 -2.2549 Ga
-1.1897 -1.1900 1.9293 Ga
-3.9493 -5.4726 1.0058 Ga
-2.7523 -4.2753 -0.9353 Pt
-2.3867 -2.3873 3.8704 Pt

=====

Repeat the third record exactly.
AcAg4 GGA-PBE relaxed; ΔE to the lowest computed polymorph = 0.025 eV/atom; SG = I4/mmm; formation energy from the elements = -157 meV/atom
1.0
-2.2838 3.6434 0.9099
-1.1771 -1.7089 3.8746
6.7877 1.5426 0.2512
Ac Ag
1 4
Cartesian
2.2520 2.5930 0.5805 Ac
4.1921 2.9935 3.8395 Ag
-0.8652 0.4836 1.1961 Ag
-0.5861 3.0106 2.3938 Ag
3.9130 0.4665 2.6418 Ag